Entry from the Alexandria database: a relaxed structure of PrGa4Cu4 (PBE).

Space-group type = I4/m (87)
Calculated formation energy = -0.158 eV/atom
DFT total energy = -3.855 eV/atom
DOS at the Fermi energy = 1.44 states/eV/f.u.
V = 17.1 Å³ per atom

a = 6.2781 Å, b = 6.2781 Å, c = 6.2781 Å
α = 97.27°, β = 97.27°, γ = 138.33°
With the nearest neighbours (Å) after each atom.
Fractional positions:
Pr1 0.0000 0.0000 0.0000  8 Cu 3.11, 4 Ga 3.21
Ga1 0.1016 0.6264 0.7280  4 Cu 2.42-2.54, 1 Ga 2.69
Ga2 0.3736 0.1016 0.4752  4 Cu 2.42-2.54, 1 Ga 2.69
Ga3 0.6264 0.8984 0.5248  4 Cu 2.42-2.54, 1 Ga 2.69
Ga4 0.8984 0.3736 0.2720  4 Cu 2.42-2.54, 1 Ga 2.69
Cu1 0.2704 0.3747 0.6451  4 Ga 2.42-2.54
Cu2 0.3747 0.7296 0.1044  4 Ga 2.42-2.54
Cu3 0.6253 0.2704 0.8956  4 Ga 2.42-2.54
Cu4 0.7296 0.6253 0.3549  4 Ga 2.42-2.54

***

Entry from the Alexandria database: a relaxed structure of PrGa2Cu8 (PBE).

Space-group type = P4/mmm (123)
Calculated formation energy = 0.168 eV/atom
DFT total energy = -3.796 eV/atom
DOS at the Fermi energy = 3.95 states/eV/f.u.
V = 17.1 Å³ per atom

a = 6.2859 Å, b = 6.2859 Å, c = 4.7695 Å
α = 90.00°, β = 90.00°, γ = 90.00°
With the nearest neighbours (Å) after each atom.
Fractional positions:
Pr1 0.0000 0.0000 0.0000  8 Cu 2.97
Ga1 0.0000 0.5000 0.5000  8 Cu 2.57
Ga2 0.5000 0.0000 0.5000  8 Cu 2.57
Cu1 0.3063 0.3063 0.2498  4 Cu 2.38-2.44, 2 Ga 2.57
Cu2 0.3063 0.3063 0.7502  4 Cu 2.38-2.44, 2 Ga 2.57
Cu3 0.3063 0.6937 0.2498  4 Cu 2.38-2.44, 2 Ga 2.57
Cu4 0.3063 0.6937 0.7502  4 Cu 2.38-2.44, 2 Ga 2.57
Cu5 0.6937 0.3063 0.2498  4 Cu 2.38-2.44, 2 Ga 2.57
Cu6 0.6937 0.3063 0.7502  4 Cu 2.38-2.44, 2 Ga 2.57
Cu7 0.6937 0.6937 0.2498  4 Cu 2.38-2.44, 2 Ga 2.57
Cu8 0.6937 0.6937 0.7502  4 Cu 2.38-2.44, 2 Ga 2.57